Computed, not measured: a relaxed structure of Ni2Bi2O at the PBE+U level of DFT.

Cell: 6.765 6.765 3.637 Å, 90.00 90.00 90.00°
Fractional coordinates of all 10 atoms:
Ni (0.371, 0.871, 0.000)
Ni (0.871, 0.629, 0.000)
Ni (0.629, 0.129, 0.000)
Ni (0.129, 0.371, 0.000)
Bi (0.173, 0.673, 0.500)
Bi (0.673, 0.827, 0.500)
Bi (0.827, 0.327, 0.500)
Bi (0.327, 0.173, 0.500)
O (0.000, 0.000, 0.000)
O (0.500, 0.500, 0.000)

Properties
- Energy relative to the lowest polymorph listed for this composition: 382 meV per atom
- D(E_F): 4.05 states/eV/cell